Record 1
This record from Alexandria describes an optimized crystal structure of CeSiBRh6. The functional is GGA-PBE.

Cell: 6.025 8.491 7.595 Å, 123.99 113.37 90.00°
Element x y z (fractional)
Rh: 0.129 0.878 0.745
Rh: 0.871 0.633 0.255
Rh: 0.525 0.275 0.050
Rh: 0.914 0.164 0.828
Rh: 0.383 0.633 0.255
Rh: 0.617 0.367 0.745
Rh: 0.871 0.122 0.255
Rh: 0.129 0.367 0.745
Rh: 0.475 0.725 0.950
Rh: 0.617 0.878 0.745
Rh: 0.086 0.836 0.172
Rh: 0.383 0.122 0.255
Ce: 0.818 0.568 0.636
Ce: 0.182 0.432 0.364
B: 0.500 0.000 0.000
B: 0.500 0.500 0.000
Si: 0.000 0.000 0.500
Si: 0.500 0.000 0.500

Calculated values
Its uncorrected formation energy is -305 meV/atom. Its space-group type is No. 74.


Record 2
This record from Alexandria describes an optimized crystal structure of HgC2. The functional is GGA-PBE.

Cell: 3.877 3.877 6.152 Å, 90.00 90.00 120.00°
Each line ends with the local moment (μB).
Element x y z (fractional)
C: 0.667 0.333 0.750  0.21
C: 0.333 0.667 0.250  0.21
C: 0.000 0.000 0.500  -0.20
C: 0.000 0.000 0.000  -0.20
Hg: 0.333 0.667 0.750  0.03
Hg: 0.667 0.333 0.250  0.03

Calculated values
For the energy relative to the lowest polymorph listed for this composition, the calculation gives 2.875 eV/atom. The energy relative to the elements comes out at 3.4125 eV per atom. Its space-group type is No. 194.


| no. | M_tot (μB per formula unit) |
| --- | --- |
| 1 | 0.00 |
| 2 | 0.04 |